(1)
# TlHPdAu2

A relaxed structure of TlHPdAu2 (PBE, the Alexandria database).

Cell and atoms, written as CIF:
```
data_TlHPdAu2
_chemical_formula_sum 'Tl1 H1 Pd1 Au2'
_space_group_name_H-M_alt 'P 4/m m m'
_space_group_IT_number 123
_space_group_name_Hall '-P 4 2'
_cell_length_a 4.746
_cell_length_b 4.746
_cell_length_c 3.568
_cell_angle_alpha 90.00
_cell_angle_beta 90.00
_cell_angle_gamma 90.00
loop_
_atom_site_label
_atom_site_fract_x
_atom_site_fract_y
_atom_site_fract_z
_atom_site_occupancy
Tl1 0.000 0.000 0.000 1
H1 0.500 0.500 0.500 1
Pd1 0.500 0.500 0.000 1
Au1 0.000 0.500 0.500 1
```

Values from the calculation:
DFT total energy (Ry per atom): -0.2486
Crystal system: tetragonal

(2)
# CaCuPAu

A relaxed structure of CaCuPAu (PBE, the Alexandria database).

Cell and atoms, written as CIF:
```
data_CaCuPAu
_chemical_formula_sum 'Ca2 Cu2 P2 Au2'
_space_group_name_H-M_alt 'P 4/n m m'
_space_group_IT_number 129
_cell_length_a 3.895
_cell_length_b 3.895
_cell_length_c 10.109
_cell_angle_alpha 90.00
_cell_angle_beta 90.00
_cell_angle_gamma 90.00
loop_
_space_group_symop_operation_xyz
'x,y,z'
'-x,-y,-z'
'-y+1/2,x,z'
'y+1/2,-x,-z'
'-x+1/2,-y+1/2,z'
'x+1/2,y+1/2,-z'
'y,-x+1/2,z'
'-y,x+1/2,-z'
'x+1/2,-y,-z'
'-x+1/2,y,z'
'-y,-x,-z'
'y,x,z'
'-x,y+1/2,-z'
'x,-y+1/2,z'
'y+1/2,x+1/2,-z'
'-y+1/2,-x+1/2,z'
loop_
_atom_site_label
_atom_site_fract_x
_atom_site_fract_y
_atom_site_fract_z
_atom_site_occupancy
Ca1 0.250 0.250 0.247 1
Cu1 0.250 0.750 0.000 1
P1 0.250 0.250 0.863 1
Au1 0.250 0.750 0.500 1
```

Values from the calculation:
DFT total energy (Ry per atom): -0.3166
Crystal system: tetragonal

(3)
# PuPaGa6

A relaxed structure of PuPaGa6 (PBE, the Alexandria database).

Cell and atoms, written as CIF:
```
data_PuPaGa6
_chemical_formula_sum 'Pu1 Pa1 Ga6'
_space_group_name_H-M_alt 'P 4/m m m'
_space_group_IT_number 123
_space_group_name_Hall '-P 4 2'
_cell_length_a 6.059
_cell_length_b 6.059
_cell_length_c 4.297
_cell_angle_alpha 90.00
_cell_angle_beta 90.00
_cell_angle_gamma 90.00
loop_
_atom_site_label
_atom_site_fract_x
_atom_site_fract_y
_atom_site_fract_z
_atom_site_occupancy
Pu1 0.000 0.000 0.000 1
Pa1 0.500 0.500 0.000 1
Ga1 0.000 0.500 0.000 1
Ga2 0.248 0.248 0.500 1
```

Values from the calculation:
DFT total energy (Ry per atom): -0.4136
Crystal system: tetragonal